Entry 1:
# BeCu2Si, optimized geometry, DFT PBE
data_BeCu2Si
_space_group_name_H-M_alt 'P 1'
_space_group_IT_number 1
_space_group_name_Hall 'P 1'
_cell_length_a 2.645
_cell_length_b 3.486
_cell_length_c 4.953
_cell_angle_alpha 90.00
_cell_angle_beta 90.00
_cell_angle_gamma 90.00
loop_
_atom_site_label
_atom_site_type_symbol
_atom_site_fract_x
_atom_site_fract_y
_atom_site_fract_z
Be1 Be 0.000 0.000 0.000
Cu1 Cu 0.500 0.500 0.242
Cu2 Cu 0.500 0.500 0.758
Si1 Si 0.000 0.000 0.500
# total magnetization	0.0	μB/f.u.
# energy relative to the elements, uncorrected	0.047	eV/atom



Entry 2:
# EuCd2Ag, optimized geometry, DFT PBE
data_EuCd2Ag
_space_group_name_H-M_alt 'P 1'
_space_group_IT_number 1
_space_group_name_Hall 'P 1'
_cell_length_a 5.168
_cell_length_b 5.168
_cell_length_c 5.168
_cell_angle_alpha 60.00
_cell_angle_beta 60.00
_cell_angle_gamma 60.00
loop_
_atom_site_label
_atom_site_type_symbol
_atom_site_fract_x
_atom_site_fract_y
_atom_site_fract_z
Eu1 Eu 0.000 0.000 0.000
Cd1 Cd 0.250 0.250 0.250
Cd2 Cd 0.750 0.750 0.750
Ag1 Ag 0.500 0.500 0.500
# formation energy	-0.79	eV/f.u.
# total magnetization	7.4	μB/f.u.



Entry 3:
# KHfB, optimized geometry, DFT PBE
data_KHfB
_space_group_name_H-M_alt 'P 1'
_space_group_IT_number 1
_space_group_name_Hall 'P 1'
_cell_length_a 4.465
_cell_length_b 4.465
_cell_length_c 4.465
_cell_angle_alpha 60.00
_cell_angle_beta 60.00
_cell_angle_gamma 60.00
loop_
_atom_site_label
_atom_site_type_symbol
_atom_site_fract_x
_atom_site_fract_y
_atom_site_fract_z
K1 K 0.000 0.000 0.000
Hf1 Hf 0.500 0.500 0.500
B1 B 0.250 0.250 0.250
# formation energy	4.22	eV/f.u.
# total magnetization	0.0	μB/f.u.



Entry 4:
# Tm2Zr2Sc3, optimized geometry, DFT PBE
data_Tm2Zr2Sc3
_space_group_name_H-M_alt 'P 1'
_space_group_IT_number 1
_space_group_name_Hall 'P 1'
_cell_length_a 3.278
_cell_length_b 7.427
_cell_length_c 8.045
_cell_angle_alpha 111.30
_cell_angle_beta 90.00
_cell_angle_gamma 102.74
loop_
_atom_site_label
_atom_site_type_symbol
_atom_site_fract_x
_atom_site_fract_y
_atom_site_fract_z
Tm1 Tm 0.080 0.158 0.220
Tm2 Tm 0.920 0.842 0.780
Zr1 Zr 0.212 0.424 0.638
Zr2 Zr 0.788 0.576 0.362
Sc1 Sc 0.351 0.702 0.076
Sc2 Sc 0.500 0.000 0.500
Sc3 Sc 0.649 0.298 0.924
# formation energy	0.37	eV/f.u.
# total magnetization	0.0	μB/f.u.



Entry 5:
# Cs3MgSn, optimized geometry, DFT PBE
data_Cs3MgSn
_space_group_name_H-M_alt 'P 1'
_space_group_IT_number 1
_space_group_name_Hall 'P 1'
_cell_length_a 7.031
_cell_length_b 7.031
_cell_length_c 7.031
_cell_angle_alpha 90.00
_cell_angle_beta 90.00
_cell_angle_gamma 90.00
loop_
_atom_site_label
_atom_site_type_symbol
_atom_site_fract_x
_atom_site_fract_y
_atom_site_fract_z
Cs1 Cs 0.000 0.000 0.500
Cs2 Cs 0.000 0.500 0.000
Cs3 Cs 0.500 0.000 0.000
Mg1 Mg 0.000 0.000 0.000
Sn1 Sn 0.500 0.500 0.500
# formation energy	2.31	eV/f.u.
# total magnetization	1.1	μB/f.u.



Entry 6:
# Au4C2O, optimized geometry, DFT PBE
data_Au4C2O
_space_group_name_H-M_alt 'P 1'
_space_group_IT_number 1
_space_group_name_Hall 'P 1'
_cell_length_a 5.879
_cell_length_b 5.879
_cell_length_c 5.879
_cell_angle_alpha 129.60
_cell_angle_beta 129.60
_cell_angle_gamma 74.05
loop_
_atom_site_label
_atom_site_type_symbol
_atom_site_fract_x
_atom_site_fract_y
_atom_site_fract_z
Au1 Au 0.000 0.500 0.500
Au2 Au 0.224 0.224 0.000
Au3 Au 0.500 0.000 0.500
Au4 Au 0.776 0.776 0.000
C1 C 0.431 0.431 0.000
C2 C 0.569 0.569 0.000
O1 O 0.000 0.000 0.000
# total magnetization	0.0	μB/f.u.
# energy relative to the elements, uncorrected	0.780	eV/atom



Entry 7:
# RbCaSiTe, optimized geometry, DFT PBE
data_RbCaSiTe
_space_group_name_H-M_alt 'P 1'
_space_group_IT_number 1
_space_group_name_Hall 'P 1'
_cell_length_a 4.122
_cell_length_b 4.157
_cell_length_c 7.642
_cell_angle_alpha 90.00
_cell_angle_beta 90.00
_cell_angle_gamma 90.00
loop_
_atom_site_label
_atom_site_type_symbol
_atom_site_fract_x
_atom_site_fract_y
_atom_site_fract_z
Rb1 Rb 0.000 0.000 0.000
Ca1 Ca 0.000 0.000 0.528
Si1 Si 0.500 0.500 0.685
Te1 Te 0.500 0.500 0.335
# total magnetization	0.0	μB/f.u.
# energy relative to the elements, uncorrected	-0.519	eV/atom



Entry 8:
# ReSb3, optimized geometry, DFT PBE
data_ReSb3
_space_group_name_H-M_alt 'P 1'
_space_group_IT_number 1
_space_group_name_Hall 'P 1'
_cell_length_a 5.658
_cell_length_b 5.658
_cell_length_c 5.658
_cell_angle_alpha 90.00
_cell_angle_beta 90.00
_cell_angle_gamma 90.00
loop_
_atom_site_label
_atom_site_type_symbol
_atom_site_fract_x
_atom_site_fract_y
_atom_site_fract_z
Re1 Re 0.000 0.000 0.000
Re2 Re 0.500 0.500 0.500
Sb1 Sb 0.000 0.250 0.500
Sb2 Sb 0.000 0.750 0.500
Sb3 Sb 0.250 0.500 0.000
Sb4 Sb 0.500 0.000 0.250
Sb5 Sb 0.500 0.000 0.750
Sb6 Sb 0.750 0.500 0.000
# total magnetization	0.8	μB/f.u.
# energy relative to the elements, uncorrected	0.840	eV/atom



Entry 9:
# ErAg2Pd, optimized geometry, DFT PBE
data_ErAg2Pd
_space_group_name_H-M_alt 'P 1'
_space_group_IT_number 1
_space_group_name_Hall 'P 1'
_cell_length_a 4.792
_cell_length_b 4.792
_cell_length_c 4.792
_cell_angle_alpha 60.00
_cell_angle_beta 60.00
_cell_angle_gamma 60.00
loop_
_atom_site_label
_atom_site_type_symbol
_atom_site_fract_x
_atom_site_fract_y
_atom_site_fract_z
Er1 Er 0.000 0.000 0.000
Ag1 Ag 0.250 0.250 0.250
Ag2 Ag 0.750 0.750 0.750
Pd1 Pd 0.500 0.500 0.500
# formation energy	-1.39	eV/f.u.
# total magnetization	0.0	μB/f.u.



Entry 10:
# SrEr2Mg3, optimized geometry, DFT PBE
data_SrEr2Mg3
_space_group_name_H-M_alt 'P 1'
_space_group_IT_number 1
_space_group_name_Hall 'P 1'
_cell_length_a 3.858
_cell_length_b 3.858
_cell_length_c 11.944
_cell_angle_alpha 90.00
_cell_angle_beta 90.00
_cell_angle_gamma 90.00
loop_
_atom_site_label
_atom_site_type_symbol
_atom_site_fract_x
_atom_site_fract_y
_atom_site_fract_z
Sr1 Sr 0.000 0.000 0.000
Er1 Er 0.000 0.000 0.350
Er2 Er 0.000 0.000 0.650
Mg1 Mg 0.500 0.500 0.197
Mg2 Mg 0.500 0.500 0.500
Mg3 Mg 0.500 0.500 0.803
# formation energy	-0.28	eV/f.u.
# total magnetization	0.0	μB/f.u.



Entry 11:
# Sm2ZrZn4, optimized geometry, DFT PBE
data_Sm2ZrZn4
_space_group_name_H-M_alt 'P 1'
_space_group_IT_number 1
_space_group_name_Hall 'P 1'
_cell_length_a 7.221
_cell_length_b 7.221
_cell_length_c 7.221
_cell_angle_alpha 139.00
_cell_angle_beta 139.00
_cell_angle_gamma 59.38
loop_
_atom_site_label
_atom_site_type_symbol
_atom_site_fract_x
_atom_site_fract_y
_atom_site_fract_z
Sm1 Sm 0.225 0.225 0.000
Sm2 Sm 0.775 0.775 0.000
Zr1 Zr 0.500 0.500 0.000
Zn1 Zn 0.102 0.602 0.500
Zn2 Zn 0.398 0.898 0.500
Zn3 Zn 0.602 0.102 0.500
Zn4 Zn 0.898 0.398 0.500
# formation energy	-0.87	eV/f.u.
# total magnetization	0.0	μB/f.u.



Q: The highest total magnetization belongs to which entry?
A: EuCd2Ag



Q: Which of these has the highest total magnetization?
A: EuCd2Ag